No. 1
## Y6Tm7 (PBE)

Data for a relaxed Y6Tm7 crystal.

Properties
Final energy, eV per cell: -67.02

a = 12.2329 Å, b = 12.2329 Å, c = 12.2329 Å
α = 30.77°, β = 30.77°, γ = 30.77°
Element x y z (fractional)
Y1 0.0467 0.0467 0.0467
Y2 0.1483 0.1483 0.1483
Y3 0.3331 0.3331 0.3331
Y4 0.6669 0.6669 0.6669
Y5 0.8517 0.8517 0.8517
Y6 0.9533 0.9533 0.9533
Tm1 0.0862 0.5897 0.5897
Tm2 0.4103 0.4103 0.9138
Tm3 0.4103 0.9138 0.4103
Tm4 0.5000 0.5000 0.5000
Tm5 0.5897 0.0862 0.5897
Tm6 0.5897 0.5897 0.0862
Tm7 0.9138 0.4103 0.4103



No. 2
## YTm (PBE)

Data for a relaxed YTm crystal.

Properties
Final energy, eV per cell: -21.85

a = 5.6016 Å, b = 3.6040 Å, c = 6.2437 Å
α = 90.00°, β = 90.00°, γ = 90.00°
Element x y z (fractional)
Y1 0.2500 0.0000 0.1682
Y2 0.7500 0.0000 0.8318
Tm1 0.2500 0.5000 0.6649
Tm2 0.7500 0.5000 0.3351